Record 1
A plane-wave DFT calculation with PBE was carried out for crystalline RbPt at its relaxed geometry.

Results
formation energy	0.4462	eV/atom
space group	P4/mmm
M_tot	0.0013	μB/atom

Cell lengths 6.4060, 6.4060, 2.8440 Å; angles 90.00, 90.00, 90.00 degrees
Fractional positions:
Rb1 0.2500 0.7500 0.0000
Rb2 0.7500 0.2500 0.0000
Pt1 0.7500 0.7500 0.5004
Pt2 0.2500 0.2500 0.4996

Record 2
A plane-wave DFT calculation with PBE was carried out for crystalline Tb2Nd3Sm6Th at its relaxed geometry.

Results
formation energy	0.0252	eV/atom
space group	C2/m
M_tot	0.0000	μB/atom

Cell lengths 6.2754, 6.2754, 12.0552 Å; angles 94.98, 94.98, 119.92 degrees
Fractional positions:
Nd1 0.5000 0.5000 0.5000
Nd2 0.8332 0.1668 0.5000
Nd3 0.1668 0.8332 0.5000
Sm1 0.9177 0.5879 0.7540
Sm2 0.2474 0.2474 0.7538
Sm3 0.4121 0.0823 0.2460
Sm4 0.7526 0.7526 0.2462
Sm5 0.0823 0.4121 0.2460
Sm6 0.5879 0.9177 0.7540
Tb1 0.3335 0.6665 0.0000
Tb2 0.6665 0.3335 0.0000
Th1 0.0000 0.0000 0.0000

Record 3
A plane-wave DFT calculation with PBE was carried out for crystalline Rb2CaSiI6 at its relaxed geometry.

Results
space group	Fm-3m
electronic total energy	-2.9132	eV per atom
M_tot	0.0000	μB/atom

Cell lengths 8.5445, 8.5445, 8.5448 Å; angles 60.00, 60.00, 90.00 degrees
Fractional positions:
Rb1 0.7500 0.2500 0.5000
Rb2 0.2500 0.7500 0.5000
I1 0.7430 0.7430 0.0000
I2 0.2570 0.7430 0.0000
I3 0.2570 0.2570 0.0000
I4 0.7429 0.7429 0.5143
I5 0.7430 0.2570 0.0000
I6 0.2571 0.2571 0.4857
Ca1 0.0000 0.0000 0.0000
Si1 0.5000 0.5000 0.0000

Record 4
A plane-wave DFT calculation with PBE was carried out for crystalline Ce3In5 at its relaxed geometry.

Results
formation energy	-0.3842	eV/atom
space group	Cmcm
relative energy among the computed polymorphs	0	meV per atom
M_tot	0.2800	μB/atom

Cell lengths 6.6004, 6.6004, 10.3787 Å; angles 90.00, 90.00, 101.72 degrees
Fractional positions:
In1 0.2962 0.2962 0.5477
In2 0.9999 0.9999 0.2500
In3 0.7038 0.7038 0.4523
In4 0.0001 0.0001 0.7500
In5 0.9362 0.5038 0.2500
In6 0.7038 0.7038 0.0477
In7 0.5038 0.9362 0.2500
In8 0.0638 0.4962 0.7500
In9 0.4962 0.0638 0.7500
In10 0.2962 0.2962 0.9523
Ce1 0.3845 0.3845 0.2500
Ce2 0.2099 0.7901 0.0000
Ce3 0.7901 0.2099 0.0000
Ce4 0.6155 0.6155 0.7500
Ce5 0.7901 0.2099 0.5000
Ce6 0.2099 0.7901 0.5000

Record 5
A plane-wave DFT calculation with PBE was carried out for crystalline NaNiIr2 at its relaxed geometry.

Results
formation energy	0.6999	eV/atom
space group	Fm-3m
relative energy among the computed polymorphs	8	meV per atom
M_tot	0.2963	μB/atom

Cell lengths 4.3050, 4.3050, 4.3050 Å; angles 60.00, 60.00, 60.00 degrees
Fractional positions:
Ir1 0.2500 0.2500 0.2500
Ir2 0.7500 0.7500 0.7500
Ni1 0.5000 0.5000 0.5000
Na1 0.0000 0.0000 0.0000

Record 6
A plane-wave DFT calculation with PBE was carried out for crystalline NpPa2RhN4 at its relaxed geometry.

Results
space group	Cmcm
electronic total energy	-10.1881	eV per atom
M_tot	0.4390	μB/atom

Cell lengths 3.4446, 6.0683, 11.6492 Å; angles 90.00, 90.00, 106.49 degrees
Fractional positions:
Rh1 0.8428 0.6856 0.7500
Rh2 0.1572 0.3144 0.2500
N1 0.7244 0.4488 0.6056
N2 0.2756 0.5512 0.3944
N3 0.0000 0.0000 0.0000
N4 0.4799 0.9597 0.7500
N5 0.0000 0.0000 0.5000
N6 0.7244 0.4488 0.8944
N7 0.2756 0.5512 0.1056
N8 0.5201 0.0403 0.2500
Np1 0.8878 0.7757 0.2500
Np2 0.1122 0.2243 0.7500
Pa1 0.3700 0.7400 0.5609
Pa2 0.6300 0.2600 0.4391
Pa3 0.3700 0.7400 0.9391
Pa4 0.6300 0.2600 0.0609

Record 7
A plane-wave DFT calculation with PBE was carried out for crystalline ZrReW2 at its relaxed geometry.

Results
formation energy	-0.0556	eV/atom
space group	F-43m
relative energy among the computed polymorphs	0	meV per atom
M_tot	0.0000	μB/atom

Cell lengths 4.5699, 4.5699, 4.5699 Å; angles 60.00, 60.00, 60.00 degrees
Fractional positions:
Re1 0.5000 0.5000 0.5000
W1 0.2500 0.2500 0.2500
W2 0.0000 0.0000 0.0000
Zr1 0.7500 0.7500 0.7500

Record 8
A plane-wave DFT calculation with PBE was carried out for crystalline CaRe2Mo at its relaxed geometry.

Results
formation energy	0.6017	eV/atom
space group	C2/m
relative energy among the computed polymorphs	137	meV per atom
M_tot	0.0000	μB/atom

Cell lengths 5.4171, 5.4682, 2.6861 Å; angles 80.18, 81.28, 117.26 degrees
Fractional positions:
Ca1 0.0000 0.5000 0.5000
Re1 0.5000 0.0000 0.5000
Re2 0.0000 0.0000 0.0000
Mo1 0.5000 0.5000 0.0000

no.,density of states at the Fermi level (states/eV per atom)
1,1.157
2,1.408
3,0.000
4,2.555
5,0.992
6,1.171
7,0.722
8,0.679